[1]
First-principles (meta-GGA SCAN) data for a PBEsol-optimized structure of ScAu2Br, as listed in the Alexandria database.

Geometry as POSCAR:
```
ScAu2Br
1.0
1.8019 1.0403 7.7339
-1.8019 1.0403 7.7339
0.0000 -2.0807 7.7339
Sc Au Br
1 2 1
Direct
0.0000 0.0000 0.0000
0.2569 0.2569 0.2569
0.7431 0.7431 0.7431
0.5000 0.5000 0.5000
```

Output
Crystal system   trigonal
Energy above the lowest structure with this stoichiometry   0.0 meV per atom
Density   9.90 Mg/m³

[2]
First-principles (meta-GGA SCAN) data for a PBEsol-optimized structure of Sc4AuBr, as listed in the Alexandria database.

Geometry as POSCAR:
```
Sc4AuBr
1.0
0.0000 4.0448 4.0448
4.0448 0.0000 4.0448
4.0448 4.0448 0.0000
Sc Au Br
4 1 1
Direct
0.3763 0.3763 0.3763
0.3763 0.3763 0.8710
0.3763 0.8710 0.3763
0.8710 0.3763 0.3763
0.7500 0.7500 0.7500
0.0000 0.0000 0.0000
```

Output
Crystal system   cubic
Density   5.73 Mg/m³

[3]
First-principles (meta-GGA SCAN) data for a PBEsol-optimized structure of ScAuBr2, as listed in the Alexandria database.

Geometry as POSCAR:
```
ScAuBr2
1.0
-1.6758 2.4339 6.5494
1.6758 -2.4339 6.5494
1.6758 2.4339 -6.5494
Sc Au Br
1 1 2
Direct
0.0000 0.0000 0.0000
0.5000 0.5000 0.0000
0.1560 0.6560 0.5000
0.8440 0.3440 0.5000
```

Output
Crystal system   orthorhombic
Energy above the lowest structure with this stoichiometry   0.0 meV per atom
Density   6.24 Mg/m³

[4]
First-principles (meta-GGA SCAN) data for a PBEsol-optimized structure of SrSc2AuBr, as listed in the Alexandria database.

Geometry as POSCAR:
```
SrSc2AuBr
1.0
5.0013 0.0000 0.0000
0.0000 5.0013 0.0000
0.0000 0.0000 5.3820
Sr Sc Au Br
1 2 1 1
Direct
0.0000 0.0000 0.0000
0.0000 0.5000 0.5000
0.5000 0.0000 0.5000
0.5000 0.5000 0.0000
0.5000 0.5000 0.5000
```

Output
Crystal system   tetragonal
Density   5.61 Mg/m³

[5]
First-principles (meta-GGA SCAN) data for a PBEsol-optimized structure of ScWAuBr2, as listed in the Alexandria database.

Geometry as POSCAR:
```
ScWAuBr2
1.0
4.7858 0.0000 0.0000
0.0000 4.7858 0.0000
0.0000 0.0000 5.4511
Sc W Au Br
1 1 1 2
Direct
0.0000 0.0000 0.0000
0.0000 0.0000 0.5000
0.5000 0.5000 0.0000
0.0000 0.5000 0.5000
0.5000 0.0000 0.5000
```

Output
Crystal system   tetragonal
Density   7.79 Mg/m³

[6]
First-principles (meta-GGA SCAN) data for a PBEsol-optimized structure of SnAuSeBr2, as listed in the Alexandria database.

Geometry as POSCAR:
```
SnAuSeBr2
1.0
5.3043 0.0000 0.0000
0.0000 5.3043 0.0000
0.0000 0.0000 5.2969
Sn Au Se Br
1 1 1 2
Direct
0.0000 0.0000 0.0000
0.5000 0.5000 0.5000
0.0000 0.0000 0.5000
0.0000 0.5000 0.0000
0.5000 0.0000 0.0000
```

Output
Crystal system   tetragonal
Density   6.18 Mg/m³

[7]
First-principles (meta-GGA SCAN) data for a PBEsol-optimized structure of TiAuSe2Br, as listed in the Alexandria database.

Geometry as POSCAR:
```
TiAuSe2Br
1.0
5.0593 0.0000 0.0000
0.0000 5.0593 0.0000
0.0000 0.0000 4.9403
Ti Au Se Br
1 1 2 1
Direct
0.0000 0.0000 0.0000
0.5000 0.5000 0.5000
0.0000 0.5000 0.5000
0.5000 0.0000 0.5000
0.5000 0.5000 0.0000
```

Output
Crystal system   tetragonal
Density   6.34 Mg/m³

[8]
First-principles (meta-GGA SCAN) data for a PBEsol-optimized structure of WAuSe2Br, as listed in the Alexandria database.

Geometry as POSCAR:
```
WAuSe2Br
1.0
5.0267 0.0000 0.0000
0.0000 5.0267 0.0000
0.0000 0.0000 4.8956
W Au Se Br
1 1 2 1
Direct
0.0000 0.0000 0.0000
0.5000 0.5000 0.5000
0.0000 0.5000 0.5000
0.5000 0.0000 0.5000
0.5000 0.5000 0.0000
```

Output
Crystal system   tetragonal
Density   8.30 Mg/m³

[9]
First-principles (meta-GGA SCAN) data for a PBEsol-optimized structure of SiAuBr2, as listed in the Alexandria database.

Geometry as POSCAR:
```
SiAuBr2
1.0
3.8212 -3.8065 0.0000
3.8212 3.8065 0.0000
-0.0303 0.0000 3.2650
Si Au Br
1 1 2
Direct
0.0000 0.0000 0.0000
0.5000 0.5000 0.0000
0.0000 0.5000 0.0000
0.5000 0.0000 0.0000
```

Output
Crystal system   monoclinic
Energy above the lowest structure with this stoichiometry   582.1 meV per atom
Density   6.73 Mg/m³

[10]
First-principles (meta-GGA SCAN) data for a PBEsol-optimized structure of SiAuBr2, as listed in the Alexandria database.

Geometry as POSCAR:
```
SiAuBr2
1.0
1.8216 1.0517 8.0236
-1.8216 1.0517 8.0236
0.0000 -2.1034 8.0236
Si Au Br
1 1 2
Direct
0.0000 0.0000 0.0000
0.7216 0.7216 0.7216
0.2599 0.2599 0.2599
0.4625 0.4625 0.4625
```

Output
Crystal system   trigonal
Energy above the lowest structure with this stoichiometry   0.0 meV per atom
Density   6.93 Mg/m³

[11]
First-principles (meta-GGA SCAN) data for a PBEsol-optimized structure of Si3AuBr, as listed in the Alexandria database.

Geometry as POSCAR:
```
Si3AuBr
1.0
4.8767 0.0000 0.0000
0.0000 4.8767 0.0000
0.0000 0.0000 4.8767
Si Au Br
3 1 1
Direct
0.0000 0.0000 0.5000
0.0000 0.5000 0.0000
0.5000 0.0000 0.0000
0.0000 0.0000 0.0000
0.5000 0.5000 0.5000
```

Output
Crystal system   cubic
Density   5.17 Mg/m³

[12]
First-principles (meta-GGA SCAN) data for a PBEsol-optimized structure of SiAu2Br, as listed in the Alexandria database.

Geometry as POSCAR:
```
SiAu2Br
1.0
2.7526 0.0000 0.0000
0.0000 3.4446 0.0000
0.0000 0.0000 8.1421
Si Au Br
1 2 1
Direct
0.0000 0.0000 0.0000
0.5000 0.5000 0.1914
0.5000 0.5000 0.8086
0.0000 0.0000 0.5000
```

Output
Crystal system   orthorhombic
Energy above the lowest structure with this stoichiometry   0.0 meV per atom
Density   10.80 Mg/m³

no.,formation energy (no corrections) (eV per atom)
1,-0.69
2,0.25
3,-1.04
4,0.00
5,0.56
6,0.32
7,0.27
8,1.41
9,0.38
10,-0.20
11,0.96
12,0.27